No. 1
Below is a relaxed AlPbS2Cl crystal, with properties calculated at the GGA-PBE level.

Unit cell a=5.360 b=5.360 c=5.482 alpha=90.00 beta=90.00 gamma=90.00
Space group P4/mmm (No. 123)
One atom of each set of equivalent atoms:
Al  0.000  0.000  0.000 [1 per cell]
Pb  0.500  0.500  0.500 [1 per cell]
S  0.000  0.500  0.500 [2 per cell]
Cl  0.500  0.500  0.000 [1 per cell]

## Properties
* final energy: -16.564 eV per formula unit
* formation energy (no corrections): 0.1977 eV per atom
* offset from the most stable computed form: 0.863 eV/atom
* crystal system: tetragonal
* spin magnetization: 0.000 μB/atom


No. 2
Below is a relaxed PuCd5 crystal, with properties calculated at the GGA-PBE level.

Unit cell a=4.561 b=13.333 c=4.833 alpha=90.00 beta=90.00 gamma=90.00
Space group Cmmm (No. 65)
One atom of each set of equivalent atoms:
Pu  0.000  0.000  0.000 [2 per cell]
Cd  0.000  0.166  0.500 [4 per cell]
Cd  0.000  0.324  0.000 [4 per cell]
Cd  0.000  0.500  0.500 [2 per cell]

## Properties
* ΔE_f: 0 kJ/mol of atoms
* final energy: -18.900 eV per formula unit
* crystal system: orthorhombic
* spin magnetization: 1.005 μB/atom


No. 3
Below is a relaxed NaCdAg2 crystal, with properties calculated at the GGA-PBE level.

Unit cell a=5.598 b=7.117 c=11.175 alpha=90.00 beta=90.00 gamma=90.00
Space group Pmma (No. 51)
One atom of each set of equivalent atoms:
Na  0.250  0.000  0.090 [2 per cell]
Na  0.250  0.500  0.320 [2 per cell]
Cd  0.250  0.000  0.746 [2 per cell]
Cd  0.250  0.500  0.792 [2 per cell]
Ag  0.000  0.000  0.500 [2 per cell]
Ag  0.000  0.500  0.000 [2 per cell]
Ag  0.250  0.312  0.571 [4 per cell]

## Properties
* ΔE_f: 12 kJ/mol of atoms
* final energy: -7.448 eV per formula unit
* crystal system: orthorhombic
* spin magnetization: 0.000 μB/atom


No. 4
Below is a relaxed NaMgH3 crystal, with properties calculated at the GGA-PBE level.

Unit cell a=3.080 b=6.046 c=6.511 alpha=100.26 beta=90.10 gamma=90.06
Space group P1 (No. 1)
One atom of each set of equivalent atoms:
Na  0.000  0.000  0.000 [1 per cell]
Na  0.497  0.581  0.304 [1 per cell]
Mg  0.503  0.454  0.821 [1 per cell]
Mg  0.999  0.126  0.483 [1 per cell]
H  0.001  0.452  0.614 [1 per cell]
H  0.002  0.388  0.999 [1 per cell]
H  0.499  0.193  0.306 [1 per cell]
H  0.500  0.128  0.692 [1 per cell]
H  0.500  0.752  0.939 [1 per cell]
H  0.998  0.828  0.368 [1 per cell]

## Properties
* final energy: -13.882 eV per formula unit
* crystal system: triclinic
* spin magnetization: 0.000 μB/atom


Question: The highest spin magnetization belongs to which entry?
Answer: PuCd5


What did the fourth record say?
Below is a relaxed NaMgH3 crystal, with properties calculated at the GGA-PBE level.

Unit cell a=3.080 b=6.046 c=6.511 alpha=100.26 beta=90.10 gamma=90.06
Space group P1 (No. 1)
One atom of each set of equivalent atoms:
Na  0.000  0.000  0.000 [1 per cell]
Na  0.497  0.581  0.304 [1 per cell]
Mg  0.503  0.454  0.821 [1 per cell]
Mg  0.999  0.126  0.483 [1 per cell]
H  0.001  0.452  0.614 [1 per cell]
H  0.002  0.388  0.999 [1 per cell]
H  0.499  0.193  0.306 [1 per cell]
H  0.500  0.128  0.692 [1 per cell]
H  0.500  0.752  0.939 [1 per cell]
H  0.998  0.828  0.368 [1 per cell]

## Properties
* final energy: -13.882 eV per formula unit
* crystal system: triclinic
* spin magnetization: 0.000 μB/atom


Question: Look up the spin magnetization of the third one.
Answer: 0.000 μB/atom


Question: Which of these has the highest final energy?
Answer: NaCdAg2